! Sr6MgW4O18 | Alexandria via LeMat-Bulk | PBE with a Hubbard U | relaxed; values from VASP
&SYSTEM
  ibrav = 0, nat = 29, ntyp = 4
/
ATOMIC_SPECIES
Sr 87.62 Sr.upf
Mg 24.30 Mg.upf
W 183.84 W.upf
O 16.00 O.upf
ATOMIC_POSITIONS angstrom
Sr 0.000 0.000 0.000
Sr 2.829 5.524 7.932
Sr 1.890 1.931 2.379
Sr 5.619 6.341 2.373
Sr 6.767 6.533 6.325
Sr 6.918 2.979 4.818
Mg 2.878 2.784 5.199
W 3.397 7.508 5.162
W 5.201 2.724 7.777
W 5.476 2.888 0.993
W 9.016 5.756 3.603
O 1.345 1.775 5.987
O 1.755 3.786 3.944
O 4.309 7.027 6.765
O 3.661 5.952 3.840
O 3.813 3.522 6.757
O 2.467 0.247 0.597
O 3.221 1.034 4.201
O 3.462 2.894 0.737
O 5.394 3.155 2.774
O 5.660 1.445 6.560
O 6.640 3.980 7.168
O 5.065 0.841 0.831
O 5.846 4.622 0.410
O 7.086 5.576 4.115
O 7.298 2.325 0.837
O 9.249 6.203 5.744
O 9.354 7.897 3.707
O 8.714 5.735 1.745
CELL_PARAMETERS angstrom
7.399 0.000 0.000
1.592 7.525 0.000
1.593 1.534 8.364
! * total energy: -6.99 eV per atom